(1)
Density functional theory data (PBE-GGA) for a relaxed structure of TbPm2Ag6.

The structure in extended XYZ format:
```
9
Lattice="-1.6958 -1.8440 2.4531 -2.2017 -5.5908 -5.7245 7.0957 -0.9363 4.2012" Properties=species:S:1:pos:R:3 pbc="T T T"
Pm -0.7984 -5.8833 0.0372
Pm 3.9965 -2.4878 0.8926
Ag 3.8926 -1.5475 4.0333
Ag -1.5787 -2.7777 -0.6735
Ag 0.7765 -3.0885 0.7209
Ag 2.4216 -5.2826 0.2089
Ag 4.7769 -5.5934 1.6033
Ag 1.5074 -1.2328 2.6210
Tb 7.0957 -0.9363 4.2012
```

Values from the calculation:
Formation enthalpy at 0 K ... -256.0 meV/atom

(2)
Density functional theory data (PBE-GGA) for a relaxed structure of Tb4PmAg4.

The structure in extended XYZ format:
```
18
Lattice="6.0951 0.0000 0.0000 0.0000 9.2696 0.0000 0.0000 0.0000 9.2696" Properties=species:S:1:pos:R:3 pbc="T T T"
Tb 2.4371 6.3377 0.8527
Tb 5.4847 5.4876 7.5667
Tb 3.6580 8.4169 6.3377
Tb 0.6104 7.5667 3.7821
Tb 5.4847 3.7821 1.7029
Tb 3.6580 0.8527 2.9319
Tb 0.6104 1.7029 5.4876
Tb 2.4371 2.9319 8.4169
Ag 5.4201 2.6124 8.0928
Ag 3.7226 2.0224 5.8117
Ag 2.3725 5.8117 7.2472
Ag 2.3725 3.4580 2.0224
Ag 5.4201 6.6572 1.1768
Ag 0.6751 1.1768 2.6124
Ag 3.7226 7.2472 3.4580
Ag 0.6751 8.0928 6.6572
Pm 0.0000 0.0000 0.0000
Pm 3.0476 4.6348 4.6348
```

Values from the calculation:
Formation enthalpy at 0 K ... -21.5 meV/atom

(3)
Density functional theory data (PBE-GGA) for a relaxed structure of Tb2PmAg.

The structure in extended XYZ format:
```
4
Lattice="-2.1008 -1.7936 2.3488 1.5039 -1.8416 2.7375 -0.7364 7.3269 7.7349" Properties=species:S:1:pos:R:3 pbc="T T T"
Tb -0.6186 5.4560 6.4116
Tb -0.3166 0.6573 3.0174
Pm -0.6669 1.8497 6.4134
Ag -1.1341 4.9013 11.1243
```

Values from the calculation:
Formation enthalpy at 0 K ... -2.1 meV/atom
Offset from the most stable computed form ... 0.1272 eV/atom

(4)
Density functional theory data (PBE-GGA) for a relaxed structure of Tb2PmAg.

The structure in extended XYZ format:
```
4
Lattice="-3.2820 -1.0225 -1.0378 -0.5147 -3.2903 -1.3429 -3.1982 -5.1038 8.9301" Properties=species:S:1:pos:R:3 pbc="T T T"
Ag 0.0000 0.0000 0.0000
Pm -3.4974 -4.7083 3.2747
Tb -1.6937 -2.2498 1.3605
Tb -5.3012 -7.1668 5.1889
```

Values from the calculation:
Formation enthalpy at 0 K ... -16.2 meV/atom
Offset from the most stable computed form ... 0.1130 eV/atom

(5)
Density functional theory data (PBE-GGA) for a relaxed structure of Tb2PmAg4.

The structure in extended XYZ format:
```
7
Lattice="5.9169 0.0855 -2.0300 -2.9243 5.0764 -2.1946 0.0492 -0.0846 6.2553" Properties=species:S:1:pos:R:3 pbc="T T T"
Tb 1.4963 2.5809 -2.1123
Tb 2.9831 0.0004 2.1126
Ag 2.9585 0.0427 -1.0150
Ag 0.0246 -0.0423 3.1276
Ag 1.5209 2.5386 1.0153
Ag -1.4622 2.5382 -1.0973
Pm 0.0000 0.0000 0.0000
```

Values from the calculation:
Formation enthalpy at 0 K ... -76.8 meV/atom

(6)
Density functional theory data (PBE-GGA) for a relaxed structure of Tb6PmAg.

The structure in extended XYZ format:
```
8
Lattice="9.3716 -0.0009 0.0140 4.6841 7.0503 -0.3714 4.6803 2.1765 3.6396" Properties=species:S:1:pos:R:3 pbc="T T T"
Pm 9.3680 4.6130 1.6411
Tb 14.9521 8.2753 2.2462
Tb 6.0055 4.6828 2.6147
Tb 7.1449 1.9872 0.4527
Tb 3.7838 0.9506 1.0360
Tb 12.7304 4.5432 0.6675
Tb 11.5910 7.2388 2.8295
Ag 0.0000 0.0000 0.0000
```

Values from the calculation:
Formation enthalpy at 0 K ... 41.3 meV/atom

(7)
Density functional theory data (PBE-GGA) for a relaxed structure of Tb2PmAg2.

The structure in extended XYZ format:
```
10
Lattice="-3.1848 -3.6205 -1.0426 3.9073 -2.8246 -2.1272 1.2921 -4.0792 10.2187" Properties=species:S:1:pos:R:3 pbc="T T T"
Ag 1.8827 -5.9690 9.1412
Ag 3.0457 -5.6736 4.5623
Ag 0.1319 -4.5553 -2.0922
Ag -1.0311 -4.8507 2.4867
Tb 1.1807 -6.8479 2.6654
Tb -1.6237 -3.6222 0.0305
Tb 0.8339 -3.6764 4.3836
Tb 3.6383 -6.9021 7.0185
Pm -0.2337 -6.6500 6.2991
Pm 2.2484 -3.8743 0.7499
```

Values from the calculation:
Formation enthalpy at 0 K ... -103.9 meV/atom
Offset from the most stable computed form ... 0.1179 eV/atom

(8)
Density functional theory data (PBE-GGA) for a relaxed structure of TbPmAg4.

The structure in extended XYZ format:
```
6
Lattice="-4.1929 -1.6577 -2.8919 -2.5996 -1.2748 4.5154 -3.1250 3.6839 2.4266" Properties=species:S:1:pos:R:3 pbc="T T T"
Tb -3.6551 0.9917 -0.2388
Ag -5.5869 1.8503 2.0776
Ag -4.7758 2.0092 5.7792
Ag -4.3231 -1.1418 1.9604
Ag -0.9402 0.3572 1.1494
Pm -2.8582 1.1832 3.4643
```

Values from the calculation:
Formation enthalpy at 0 K ... -281.9 meV/atom
Offset from the most stable computed form ... 0.0005 eV/atom

(9)
Density functional theory data (PBE-GGA) for a relaxed structure of TbPmAg.

The structure in extended XYZ format:
```
3
Lattice="5.0990 0.0000 0.0000 2.5495 4.4158 0.0000 2.5495 1.4719 4.1633" Properties=species:S:1:pos:R:3 pbc="T T T"
Ag 2.5495 1.4719 1.0408
Tb 5.0990 2.9439 2.0816
Pm 0.0000 0.0000 0.0000
```

Values from the calculation:
Formation enthalpy at 0 K ... 73.3 meV/atom
Offset from the most stable computed form ... 0.2495 eV/atom

(10)
Density functional theory data (PBE-GGA) for a relaxed structure of Tb4Pm5Ag.

The structure in extended XYZ format:
```
10
Lattice="3.6238 0.0000 0.0000 0.0000 3.6238 0.0000 0.0000 0.0000 24.2562" Properties=species:S:1:pos:R:3 pbc="T T T"
Ag 0.0000 0.0000 0.0000
Tb 0.0000 0.0000 9.5953
Tb 0.0000 0.0000 19.7059
Tb 0.0000 0.0000 4.5503
Tb 0.0000 0.0000 14.6609
Pm 1.8119 1.8119 17.1976
Pm 1.8119 1.8119 22.2758
Pm 1.8119 1.8119 1.9804
Pm 1.8119 1.8119 7.0586
Pm 1.8119 1.8119 12.1281
```

Values from the calculation:
Formation enthalpy at 0 K ... -33.9 meV/atom

(11)
Density functional theory data (PBE-GGA) for a relaxed structure of TbPm4Ag.

The structure in extended XYZ format:
```
12
Lattice="-1.6340 -2.1825 4.8274 -4.0953 -3.9675 -3.1800 8.4195 -6.1828 -3.1290" Properties=species:S:1:pos:R:3 pbc="T T T"
Pm -1.9290 -3.7487 -2.3478
Pm 4.6350 -4.9610 -0.6741
Pm 2.5496 -5.0748 1.7523
Pm -1.8494 -3.0949 1.1584
Pm -0.4438 -5.9177 0.3579
Pm 4.9517 -8.2621 1.1243
Pm 1.3964 -6.0414 -2.2587
Pm 3.4802 -10.2642 -3.4626
Tb 1.1675 -2.7610 -0.8531
Tb 1.8629 -9.2423 -0.3644
Ag 4.0475 -7.6010 -2.0665
Ag -3.1821 -6.4997 -0.8321
```

Values from the calculation:
Formation enthalpy at 0 K ... 39.3 meV/atom
Offset from the most stable computed form ... 0.1087 eV/atom

(12)
Density functional theory data (PBE-GGA) for a relaxed structure of Tb2Pm6Ag.

The structure in extended XYZ format:
```
9
Lattice="-2.0017 1.2962 -2.6341 -4.5596 -8.3382 -0.6383 -3.5780 6.9218 6.2046" Properties=species:S:1:pos:R:3 pbc="T T T"
Pm -2.3162 -1.7573 -1.5012
Pm -2.4487 4.5838 4.1651
Pm -5.4355 -0.8781 3.7470
Pm -4.7038 0.7579 -0.8147
Pm -7.6906 -4.7040 -1.2328
Pm -4.2451 -5.2847 -1.7712
Ag 0.0000 0.0000 0.0000
Tb -4.7837 2.4274 2.4619
Tb -5.3557 -2.5476 0.4704
```

Values from the calculation:
Formation enthalpy at 0 K ... 102.8 meV/atom

(13)
Density functional theory data (PBE-GGA) for a relaxed structure of TbPm3Ag2.

The structure in extended XYZ format:
```
12
Lattice="-4.4155 2.2171 1.6778 -3.7223 -5.1620 -2.9751 0.5268 -4.9453 7.9214" Properties=species:S:1:pos:R:3 pbc="T T T"
Pm -2.7805 -7.6372 2.7745
Pm -1.0945 -3.4123 1.6288
Pm -4.5667 -3.1263 0.2268
Pm -1.3325 -7.1696 5.9673
Pm -2.3576 -3.8116 6.9462
Pm -3.6547 -5.4224 -2.4530
Ag -0.6654 -4.6179 4.3513
Ag -2.9781 -0.8427 1.3899
Ag -2.6856 -5.7050 0.4708
Ag -4.4763 -6.8304 5.3594
Tb -2.0154 -1.1157 4.2844
Tb -3.8122 -4.3013 3.7652
```

Values from the calculation:
Formation enthalpy at 0 K ... -164.6 meV/atom
Offset from the most stable computed form ... 0.0000 eV/atom

(14)
Density functional theory data (PBE-GGA) for a relaxed structure of TbPmAg2Te4.

The structure in extended XYZ format:
```
8
Lattice="7.4053 0.0000 0.0000 3.7026 6.0944 0.5820 3.7026 1.0795 6.0262" Properties=species:S:1:pos:R:3 pbc="T T T"
Ag 3.7026 2.5375 2.3374
Ag 11.1079 4.6364 4.2708
Pm 0.0000 0.0000 0.0000
Te 5.6928 6.0145 2.9290
Te 9.1177 3.7618 0.8539
Te 5.6928 1.1594 3.6792
Te 9.1177 3.4121 5.7543
Tb 7.4053 3.5869 3.3041
```

Values from the calculation:
Formation energy (no corrections) ... -724 meV per atom

(15)
Density functional theory data (PBE-GGA) for a relaxed structure of TbPm2Ag3Te6.

The structure in extended XYZ format:
```
12
Lattice="4.4638 0.0000 0.0000 0.0000 8.5289 0.2752 -2.2319 -2.5488 9.6455" Properties=species:S:1:pos:R:3 pbc="T T T"
Te 2.2319 3.8242 9.6555
Te 2.2319 4.0601 3.2718
Te 0.0000 2.1559 0.2651
Te 0.0000 1.9200 6.6488
Te 0.0000 6.4435 6.8403
Te 2.2319 -0.4634 3.0803
Ag 0.0000 5.4901 4.2171
Ag 2.2319 4.2644 0.1376
Ag 2.2319 0.4900 5.7035
Tb 2.2319 0.0000 0.0000
Pm 0.0000 1.7576 3.3968
Pm 2.2319 4.2225 6.5239
```

Values from the calculation:
Formation energy (no corrections) ... -860 meV per atom

(16)
Density functional theory data (PBE-GGA) for a relaxed structure of TbPmThAg.

The structure in extended XYZ format:
```
4
Lattice="5.4336 0.0000 0.0000 2.7168 4.7056 0.0000 2.7168 1.5685 4.4365" Properties=species:S:1:pos:R:3 pbc="T T T"
Pm 8.1504 4.7056 3.3274
Th 5.4336 3.1371 2.2183
Tb 0.0000 0.0000 0.0000
Ag 2.7168 1.5685 1.1091
```

Values from the calculation:
Formation enthalpy at 0 K ... 147.3 meV/atom

(17)
Density functional theory data (PBE-GGA) for a relaxed structure of TbPmTmAg.

The structure in extended XYZ format:
```
4
Lattice="-0.5867 -4.1326 -3.4188 -0.6712 -5.0031 1.9053 -4.7841 -2.4489 -0.4763" Properties=species:S:1:pos:R:3 pbc="T T T"
Pm -4.5315 -8.6884 -1.4924
Tm -3.0210 -5.7923 -0.9949
Tb 0.0000 0.0000 0.0000
Ag -1.5105 -2.8961 -0.4975
```

Values from the calculation:
Formation enthalpy at 0 K ... 100.7 meV/atom
Offset from the most stable computed form ... 0.2371 eV/atom

(18)
Density functional theory data (PBE-GGA) for a relaxed structure of TbPmTmAg.

The structure in extended XYZ format:
```
4
Lattice="-0.6728 -3.4081 0.9681 2.2606 0.3458 2.7884 -6.6001 2.7267 5.0128" Properties=species:S:1:pos:R:3 pbc="T T T"
Pm -0.4949 0.2045 0.3759
Tm -1.6117 -0.5373 3.7053
Ag -3.7201 1.5369 2.8255
Tb -4.3646 0.6000 5.7962
```

Values from the calculation:
Formation enthalpy at 0 K ... -136.5 meV/atom
Offset from the most stable computed form ... 0.0000 eV/atom

(19)
Density functional theory data (PBE-GGA) for a relaxed structure of TbPmYAg.

The structure in extended XYZ format:
```
4
Lattice="5.4304 0.0000 0.0000 2.7152 4.7029 0.0000 2.7152 1.5676 4.4339" Properties=species:S:1:pos:R:3 pbc="T T T"
Pm 5.4304 3.1353 2.2170
Ag 0.0000 0.0000 0.0000
Tb 2.7152 1.5676 1.1085
Y 8.1457 4.7029 3.3255
```

Values from the calculation:
Formation enthalpy at 0 K ... 97.2 meV/atom
Offset from the most stable computed form ... 0.2300 eV/atom

(20)
Density functional theory data (PBE-GGA) for a relaxed structure of TbPmYAg.

The structure in extended XYZ format:
```
4
Lattice="-3.2130 -1.1072 1.3098 0.2656 -3.0692 -1.9428 4.0559 -3.8741 6.6747" Properties=species:S:1:pos:R:3 pbc="T T T"
Pm 0.2840 -0.2712 0.4673
Ag 2.3187 -2.2148 3.8159
Y -0.0035 -3.4925 2.1030
Tb 1.6919 -5.1119 4.8931
```

Values from the calculation:
Formation enthalpy at 0 K ... -132.8 meV/atom
Offset from the most stable computed form ... 0.0000 eV/atom

no.,V (Å³ per cell)
1,209.1
2,523.7
3,119.2
4,118.0
5,188.3
6,247.7
7,286.9
8,134.9
9,93.7
10,318.5
11,381.7
12,296.1
13,342.9
14,267.3
15,370.3
16,113.4
17,111.1
18,113.5
19,113.2
20,115.6